No. 1
Entry from the Alexandria database: a geometry-optimized CaMg2In structure (PBE).

a b c (Å): 3.5449 3.5449 31.0782
angles (deg): 90.00 90.00 120.00
Last column: nearest neighbours and their distance in Å.
Space group R-3m (No. 166, hexagonal axes)
Unique sites:
Ca: 0.0000 0.0000 0.0000  6 Mg 3.49, 6 Ca 3.54
Mg: 0.0000 0.0000 0.2424  3 In 3.12, 3 Ca 3.49
In: 0.0000 0.0000 0.5000  6 Mg 3.12

Computed properties:
crystal system = trigonal
ΔE_f = 0.001 eV/atom

=====

No. 2
Entry from the Alexandria database: a geometry-optimized CaMg12In4 structure (PBE).

a b c (Å): 9.9904 9.9904 9.9904
angles (deg): 90.00 90.00 90.00
Last column: nearest neighbours and their distance in Å.
Space group Im-3 (No. 204)
Unique sites:
Ca: 0.0000 0.0000 0.0000  12 Mg 3.80
Mg: 0.0000 0.1596 0.3452  2 In 2.82, 1 Mg 3.09
In: 0.2500 0.2500 0.2500  6 Mg 2.82

Computed properties:
crystal system = cubic
ΔE_f = 0.225 eV/atom

=====

No. 3
Entry from the Alexandria database: a geometry-optimized CaMgIn6 structure (PBE).

a b c (Å): 5.5952 6.5585 11.3446
angles (deg): 90.00 90.00 90.00
Last column: nearest neighbours and their distance in Å.
Space group Amm2 (No. 38)
Unique sites:
Ca: 0.0000 0.0000 0.0000  12 In 3.27-3.41
Mg: 0.5000 0.0000 0.6694  12 In 3.27-3.39
In: 0.0000 0.0000 0.5001  8 In 3.27-3.36, 2 Ca 3.28, 2 Mg 3.39
In: 0.0000 0.2498 0.2502  8 In 3.27-3.37, 2 Ca 3.27-3.28, 2 Mg 3.37
In: 0.5000 0.0000 0.1714  8 In 3.20-3.36, 2 Mg 3.28, 2 Ca 3.41
In: 0.5000 0.2434 0.4161  8 In 3.19-3.37, 2 Mg 3.27-3.29, 2 Ca 3.40

Computed properties:
crystal system = orthorhombic
ΔE_f = -0.146 eV/atom

=====

No. 4
Entry from the Alexandria database: a geometry-optimized Ca2MgIn structure (PBE).

a b c (Å): 7.6960 7.6960 7.6960
angles (deg): 90.00 90.00 90.00
Last column: nearest neighbours and their distance in Å.
Space group F-43m (No. 216)
Unique sites:
Ca: 0.0000 0.0000 0.0000  4 Ca 3.33, 4 Mg 3.33
Ca: 0.2500 0.2500 0.2500  4 In 3.33, 4 Ca 3.33
Mg: 0.2500 0.2500 0.7500  4 Ca 3.33, 4 In 3.33
In: 0.0000 0.0000 0.5000  4 Mg 3.33, 4 Ca 3.33

Computed properties:
crystal system = cubic
ΔE_f = -0.165 eV/atom

=====

No. 5
Entry from the Alexandria database: a geometry-optimized CaMg2In structure (PBE).

a b c (Å): 4.9616 6.3202 6.7993
angles (deg): 90.00 90.00 90.00
Last column: nearest neighbours and their distance in Å.
Space group Pmmn (No. 59, origin choice 2)
Unique sites:
Ca: 0.2500 0.2500 0.0889  4 In 3.32-3.34, 6 Mg 3.48-3.49
Mg: 0.2500 0.5018 0.6335  3 In 3.07-3.10, 4 Mg 3.07-3.18
In: 0.2500 0.7500 0.2401  6 Mg 3.07-3.10, 4 Ca 3.32-3.34

Computed properties:
crystal system = orthorhombic
ΔE_f = -0.225 eV/atom

=====

No. 6
Entry from the Alexandria database: a geometry-optimized CaMg2In structure (PBE).

a b c (Å): 3.5001 5.2665 5.8419
angles (deg): 90.00 95.23 90.00
Last column: nearest neighbours and their distance in Å.
Space group P2/m (No. 10)
Unique sites:
Ca: 0.0000 0.0000 0.0000  4 In 3.27-3.54, 4 Mg 3.34, 2 Ca 3.50
Mg: 0.3621 0.5000 0.7412  2 In 3.05, 2 Mg 3.06-3.09, 2 Ca 3.34
In: 0.5000 0.0000 0.5000  4 Mg 3.05, 2 Ca 3.27

Computed properties:
crystal system = monoclinic
ΔE_f = -0.138 eV/atom

=====

No. 7
Entry from the Alexandria database: a geometry-optimized CaMgIn5 structure (PBE).

a b c (Å): 5.0484 5.0484 7.4364
angles (deg): 90.00 90.00 90.00
Last column: nearest neighbours and their distance in Å.
Space group P4/mmm (No. 123)
Unique sites:
Ca: 0.0000 0.0000 0.0000  12 In 3.30-3.57
Mg: 0.0000 0.0000 0.5000  8 In 2.99
In: 0.0000 0.5000 0.2850  2 Mg 2.99, 3 In 3.20-3.30, 2 Ca 3.30
In: 0.5000 0.5000 0.0000  8 In 3.30, 4 Ca 3.57

Computed properties:
crystal system = tetragonal
ΔE_f = -0.173 eV/atom

=====

No. 8
Entry from the Alexandria database: a geometry-optimized Ca3MgIn12 structure (PBE).

a b c (Å): 4.7624 4.7624 18.3820
angles (deg): 90.00 90.00 90.00
Last column: nearest neighbours and their distance in Å.
Space group P4/mmm (No. 123)
Unique sites:
Ca: 0.0000 0.0000 0.0000  12 In 3.33-3.37
Ca: 0.0000 0.0000 0.2539  12 In 3.34-3.37
Mg: 0.0000 0.0000 0.5000  12 In 3.22-3.37
In: 0.0000 0.5000 0.1266  8 In 3.30-3.37, 4 Ca 3.33-3.34
In: 0.0000 0.5000 0.3821  8 In 3.22-3.39, 2 Mg 3.22, 2 Ca 3.35
In: 0.5000 0.5000 0.0000  8 In 3.33, 4 Ca 3.37
In: 0.5000 0.5000 0.2511  8 In 3.30-3.39, 4 Ca 3.37
In: 0.5000 0.5000 0.5000  8 In 3.22, 4 Mg 3.37

Computed properties:
crystal system = tetragonal
ΔE_f = -0.249 eV/atom

=====

No. 9
Entry from the Alexandria database: a geometry-optimized Ca3Mg4In4 structure (PBE).

a b c (Å): 4.6822 8.1003 15.8954
angles (deg): 90.00 90.00 90.00
Last column: nearest neighbours and their distance in Å.
Space group Immm (No. 71)
Unique sites:
Ca: 0.0000 0.0000 0.0000  6 In 3.46-3.54
Ca: 0.0000 0.5000 0.1221  6 In 3.39-3.40, 6 Mg 3.51-3.61
Mg: 0.0000 0.3076 0.3272  4 In 2.92-3.00, 1 Mg 3.12
In: 0.0000 0.0000 0.2226  6 Mg 2.92-3.00
In: 0.0000 0.1862 0.5000  2 Mg 2.92, 1 In 3.02

Computed properties:
crystal system = orthorhombic
ΔE_f = -0.288 eV/atom

=====

No. 10
Entry from the Alexandria database: a geometry-optimized CaMgIn3 structure (PBE).

a b c (Å): 7.3061 7.3061 6.0671
angles (deg): 90.00 90.00 120.00
Last column: nearest neighbours and their distance in Å.
Space group P6_3/mmc (No. 194)
Unique sites:
Ca: 0.3333 0.6667 0.2500  12 In 3.50-3.67
Mg: 0.0000 0.0000 0.0000  6 In 2.91, 2 Mg 3.03
In: 0.1960 0.3921 0.7500  2 Mg 2.91, 2 In 3.01

Computed properties:
crystal system = hexagonal
ΔE_f = -0.138 eV/atom

=====

No. 11
Entry from the Alexandria database: a geometry-optimized CaMg2In structure (PBE).

a b c (Å): 7.3608 7.4126 5.1997
angles (deg): 90.00 134.83 90.00
Last column: nearest neighbours and their distance in Å.
Space group C2 (No. 5)
Unique sites:
Ca: 0.0000 0.0000 0.0000  4 In 3.19-3.20, 4 Mg 3.19-3.20
Mg: 0.0000 0.2496 0.5000  4 Ca 3.19-3.20, 4 Mg 3.20
Mg: 0.0000 0.5008 0.0000  4 In 3.19-3.20, 4 Mg 3.20
In: 0.0000 0.7505 0.5000  4 Ca 3.19-3.20, 4 Mg 3.19-3.20

Computed properties:
crystal system = monoclinic
ΔE_f = -0.211 eV/atom

=====

No. 12
Entry from the Alexandria database: a geometry-optimized Ca4Mg3In2 structure (PBE).

a b c (Å): 9.4242 5.4389 10.2801
angles (deg): 90.00 90.03 90.00
Last column: nearest neighbours and their distance in Å.
Space group C2/m (No. 12)
Unique sites:
Ca: 0.9996 0.0000 0.1750  7 Mg 3.34-3.63, 3 In 3.40, 1 Ca 3.60
Ca: 0.1670 0.5000 0.6219  4 In 3.24-3.29, 3 Mg 3.38
Mg: 0.0000 0.0000 0.5000  8 Ca 3.34-3.38
Mg: 0.1667 0.5000 0.0014  1 In 3.09, 3 Mg 3.14
In: 0.1662 0.5000 0.3016  1 Mg 3.09, 7 Ca 3.24-3.40

Computed properties:
crystal system = monoclinic
ΔE_f = -0.241 eV/atom

=====

No. 13
Entry from the Alexandria database: a geometry-optimized CaMg2In structure (PBE).

a b c (Å): 4.5669 4.5669 22.3157
angles (deg): 90.00 90.00 90.00
Last column: nearest neighbours and their distance in Å.
Space group I-42d (No. 122)
Unique sites:
Ca: 0.0000 0.0000 0.0000  4 In 3.23, 4 Mg 3.26
Mg: 0.2290 0.2500 0.6250  4 Mg 3.10-3.37, 2 In 3.19, 2 Ca 3.26
In: 0.0000 0.0000 0.5000  4 Mg 3.19, 4 Ca 3.23

Computed properties:
crystal system = tetragonal
ΔE_f = 0.045 eV/atom

=====

No. 14
Entry from the Alexandria database: a geometry-optimized Ca5MgIn6 structure (PBE).

a b c (Å): 9.3384 16.1028 5.4148
angles (deg): 90.00 125.33 90.00
Last column: nearest neighbours and their distance in Å.
Space group C2/m (No. 12)
Unique sites:
Ca: 0.0000 0.0000 0.0000  8 In 3.29-3.45
Ca: 0.0000 0.1623 0.5000  8 In 3.37-3.40, 4 Ca 3.75-3.76
Ca: 0.0000 0.3237 0.0000  8 In 3.24-3.35
Mg: 0.0000 0.5000 0.5000  8 In 3.11-3.19
In: 0.2216 0.5000 0.2209  2 Mg 3.19, 6 Ca 3.30-3.45, 1 In 3.38
In: 0.2309 0.3406 0.7310  1 Mg 3.11, 7 Ca 3.24-3.40

Computed properties:
crystal system = monoclinic
ΔE_f = -0.411 eV/atom

=====

No. 15
Entry from the Alexandria database: a geometry-optimized Ca16Mg12In structure (PBE).

a b c (Å): 12.3518 17.0891 10.7325
angles (deg): 90.00 124.02 90.00
Last column: nearest neighbours and their distance in Å.
Space group Cm (No. 8)
Unique sites:
Ca: 0.0000 0.0000 0.0000  6 Mg 3.50-3.62, 4 Ca 3.52-3.66, 1 In 3.71
Ca: 0.0083 0.0000 0.3462  12 Mg 3.62-3.79, 4 Ca 3.66-3.82
Ca: 0.0268 0.3089 0.6527  5 Mg 3.43-3.74, 6 Ca 3.58-3.80, 1 In 3.59
Ca: 0.0496 0.3802 0.3542  5 Mg 3.40-3.77, 1 In 3.53, 4 Ca 3.58-3.78
Ca: 0.2044 0.2032 0.0197  5 Mg 3.44-3.60, 6 Ca 3.55-3.74
Ca: 0.3007 0.0000 0.0323  5 Mg 3.44-3.74, 7 Ca 3.53-3.70
Ca: 0.3285 0.3219 0.3436  4 Ca 3.55-3.76, 7 Mg 3.61-3.90
Ca: 0.3519 0.3447 0.7426  1 In 3.38, 4 Mg 3.43-3.71, 5 Ca 3.52-3.78
Ca: 0.3727 0.0000 0.6596  1 In 3.43, 4 Mg 3.48-3.73, 5 Ca 3.66-3.82
Ca: 0.4464 0.1518 0.9370  4 Mg 3.44-3.68, 6 Ca 3.62-3.76
Mg: 0.0003 0.1877 0.1575  3 Mg 3.12-3.17, 1 Ca 3.44
Mg: 0.1005 0.0944 0.6942  3 Mg 3.13-3.23, 1 Ca 3.44
Mg: 0.1492 0.5000 0.1675  3 Mg 3.17-3.22, 4 Ca 3.49-3.53
Mg: 0.1877 0.1873 0.5134  3 Mg 3.13-3.17, 1 Ca 3.44
Mg: 0.2363 0.4093 0.9792  3 Mg 3.10-3.17, 1 In 3.27, 1 Ca 3.43
Mg: 0.2609 0.0930 0.3194  3 Mg 3.12-3.18, 3 Ca 3.40-3.48
Mg: 0.3341 0.5000 0.5289  3 Mg 3.17-3.22, 1 In 3.31, 2 Ca 3.43
In: 0.1557 0.5000 0.6707  3 Mg 3.27-3.31, 7 Ca 3.38-3.59

Computed properties:
crystal system = monoclinic
ΔE_f = -0.067 eV/atom

=====

No. 16
Entry from the Alexandria database: a geometry-optimized Ca4Mg3In structure (PBE).

a b c (Å): 5.5377 5.5377 27.2986
angles (deg): 90.00 90.00 120.00
Last column: nearest neighbours and their distance in Å.
Space group R-3m (No. 166, hexagonal axes)
Unique sites:
Ca: 0.0000 0.0000 0.1226  1 In 3.35, 7 Mg 3.35-3.42
Ca: 0.0000 0.0000 0.3728  3 In 3.37, 5 Mg 3.41-3.47
Mg: 0.0000 0.0000 0.2478  8 Ca 3.35-3.44
Mg: 0.0000 0.0000 0.5000  8 Ca 3.42-3.47
In: 0.0000 0.0000 0.0000  8 Ca 3.35-3.37

Computed properties:
crystal system = trigonal
ΔE_f = -0.198 eV/atom

=====

No. 17
Entry from the Alexandria database: a geometry-optimized Ca4Mg2In structure (PBE).

a b c (Å): 5.4990 5.4990 26.9097
angles (deg): 90.00 90.00 120.00
Last column: nearest neighbours and their distance in Å.
Space group R-3m (No. 166, hexagonal axes)
Unique sites:
Ca: 0.0000 0.0000 0.1220  4 Mg 3.31-3.32, 3 In 3.39
Ca: 0.0000 0.0000 0.3735  1 In 3.40, 4 Mg 3.42-3.44
Mg: 0.0000 0.0000 0.2455  8 Ca 3.31-3.44
In: 0.0000 0.0000 0.5000  8 Ca 3.39-3.40

Computed properties:
crystal system = trigonal
ΔE_f = -0.111 eV/atom

=====

No. 18
Entry from the Alexandria database: a geometry-optimized Ca2MgIn structure (PBE).

a b c (Å): 3.7025 3.7025 32.7434
angles (deg): 90.00 90.00 120.00
Last column: nearest neighbours and their distance in Å.
Space group R3m (No. 160, hexagonal axes)
Unique sites:
Ca: 0.0000 0.0000 0.0000  3 In 3.35, 6 Ca 3.70
Ca: 0.0000 0.0000 0.2323  3 Mg 3.49, 6 Ca 3.70
Mg: 0.0000 0.0000 0.4815  3 In 3.12, 3 Ca 3.49
In: 0.0000 0.0000 0.7454  3 Mg 3.12, 3 Ca 3.35

Computed properties:
crystal system = trigonal
ΔE_f = -0.063 eV/atom

=====

No. 19
Entry from the Alexandria database: a geometry-optimized CaMg4In5 structure (PBE).

a b c (Å): 3.6620 3.6620 18.2653
angles (deg): 90.00 90.00 90.00
Last column: nearest neighbours and their distance in Å.
Space group P4/mmm (No. 123)
Unique sites:
Ca: 0.0000 0.0000 0.0000  8 In 3.36, 4 Ca 3.66
Mg: 0.0000 0.0000 0.2100  8 In 3.10-3.13
Mg: 0.0000 0.0000 0.4024  8 In 3.13-3.14
In: 0.5000 0.5000 0.1168  4 Mg 3.10, 4 Ca 3.36, 1 In 3.46
In: 0.5000 0.5000 0.3061  8 Mg 3.13, 1 In 3.46
In: 0.5000 0.5000 0.5000  8 Mg 3.14

Computed properties:
crystal system = tetragonal
ΔE_f = -0.157 eV/atom

=====

No. 20
Entry from the Alexandria database: a geometry-optimized CaMgIn structure (PBE).

a b c (Å): 4.5214 4.5214 8.2641
angles (deg): 90.00 90.00 90.00
Last column: nearest neighbours and their distance in Å.
Space group P4/nmm (No. 129, origin choice 2)
Unique sites:
Ca: 0.2500 0.2500 0.1535  5 In 3.30-3.36, 4 Mg 3.65
Mg: 0.2500 0.7500 0.5000  4 In 3.04, 4 Mg 3.20
In: 0.2500 0.2500 0.7467  4 Mg 3.04, 5 Ca 3.30-3.36

Computed properties:
crystal system = tetragonal
ΔE_f = -0.324 eV/atom